# PBE-GGA Li2FeCu, optimized geometry
# crystal system	trigonal
# ΔH_f (0 K)	146.2	meV/atom
data_Li2FeCu
_chemical_formula_sum 'Li2 Fe1 Cu1'
_cell_length_a 9.0141
_cell_length_b 9.0141
_cell_length_c 9.0141
_cell_angle_alpha 16.32
_cell_angle_beta 16.32
_cell_angle_gamma 16.32
_symmetry_space_group_name_H-M 'P 1'
_symmetry_Int_Tables_number 1
_symmetry_space_group_name_Hall 'P 1'
loop_
_atom_site_label
_atom_site_fract_x
_atom_site_fract_y
_atom_site_fract_z
Li1 0.2491 0.2491 0.2491
Li2 0.7509 0.7509 0.7509
Fe1 0.0000 0.0000 0.0000
Cu1 0.5000 0.5000 0.5000

***

# PBE-GGA AcSmGaOs, optimized geometry
# crystal system	cubic
# ΔH_f (0 K)	-87.7	meV/atom
data_AcSmGaOs
_chemical_formula_sum 'Ac1 Sm1 Ga1 Os1'
_cell_length_a 5.2067
_cell_length_b 5.2067
_cell_length_c 5.2067
_cell_angle_alpha 60.00
_cell_angle_beta 60.00
_cell_angle_gamma 60.00
_symmetry_space_group_name_H-M 'P 1'
_symmetry_Int_Tables_number 1
_symmetry_space_group_name_Hall 'P 1'
loop_
_atom_site_label
_atom_site_fract_x
_atom_site_fract_y
_atom_site_fract_z
Ac1 0.0000 0.0000 0.0000
Sm1 0.5000 0.5000 0.5000
Ga1 0.2500 0.2500 0.2500
Os1 0.7500 0.7500 0.7500

***

# PBE-GGA Ho3TmZn4, optimized geometry
# crystal system	trigonal
# ΔH_f (0 K)	-349.4	meV/atom
data_Ho3TmZn4
_chemical_formula_sum 'Ho3 Tm1 Zn4'
_cell_length_a 8.6751
_cell_length_b 8.6751
_cell_length_c 8.6751
_cell_angle_alpha 33.63
_cell_angle_beta 33.63
_cell_angle_gamma 33.63
_symmetry_space_group_name_H-M 'P 1'
_symmetry_Int_Tables_number 1
_symmetry_space_group_name_Hall 'P 1'
loop_
_atom_site_label
_atom_site_fract_x
_atom_site_fract_y
_atom_site_fract_z
Ho1 0.0000 0.0000 0.0000
Ho2 0.2496 0.2496 0.2496
Ho3 0.7504 0.7504 0.7504
Tm1 0.5000 0.5000 0.5000
Zn1 0.1252 0.1252 0.1252
Zn2 0.3751 0.3751 0.3751
Zn3 0.6249 0.6249 0.6249
Zn4 0.8748 0.8748 0.8748

***

# PBE-GGA K3Y, optimized geometry
# crystal system	orthorhombic
# ΔH_f (0 K)	342.3	meV/atom
data_K3Y
_chemical_formula_sum 'K3 Y1'
_cell_length_a 3.9351
_cell_length_b 3.9351
_cell_length_c 14.9687
_cell_angle_alpha 90.00
_cell_angle_beta 90.00
_cell_angle_gamma 114.83
_symmetry_space_group_name_H-M 'P 1'
_symmetry_Int_Tables_number 1
_symmetry_space_group_name_Hall 'P 1'
loop_
_atom_site_label
_atom_site_fract_x
_atom_site_fract_y
_atom_site_fract_z
K1 0.0000 0.0000 0.0000
K2 0.5000 0.5000 0.2718
K3 0.5000 0.5000 0.7282
Y1 0.0000 0.0000 0.5000

***

# PBE-GGA BaIn2Br4, optimized geometry
# excess energy over the best structure of this formula in the dataset	0.0	meV/atom
# crystal system	tetragonal
# formation energy without anion corrections	-1.2787	eV/atom
data_BaIn2Br4
_chemical_formula_sum 'Ba4 In8 Br16'
_cell_length_a 9.7218
_cell_length_b 9.7218
_cell_length_c 13.7214
_cell_angle_alpha 90.00
_cell_angle_beta 90.00
_cell_angle_gamma 90.00
_symmetry_space_group_name_H-M 'P 1'
_symmetry_Int_Tables_number 1
_symmetry_space_group_name_Hall 'P 1'
loop_
_atom_site_label
_atom_site_fract_x
_atom_site_fract_y
_atom_site_fract_z
Ba1 0.0000 0.2651 0.0000
Ba2 0.0000 0.7349 0.5000
Ba3 0.2651 0.0000 0.7500
Ba4 0.7349 0.0000 0.2500
In1 0.2434 0.2434 0.3750
In2 0.2434 0.7566 0.1250
In3 0.2679 0.5000 0.7500
In4 0.5000 0.2679 0.0000
In5 0.5000 0.7321 0.5000
In6 0.7321 0.5000 0.2500
In7 0.7566 0.2434 0.6250
In8 0.7566 0.7566 0.8750
Br1 0.0301 0.2419 0.7641
Br2 0.0301 0.7581 0.7359
Br3 0.2419 0.0301 0.9859
Br4 0.2419 0.9699 0.5141
Br5 0.2455 0.4889 0.9952
Br6 0.2455 0.5111 0.5048
Br7 0.4889 0.2455 0.7548
Br8 0.4889 0.7545 0.7452
Br9 0.5111 0.2455 0.2452
Br10 0.5111 0.7545 0.2548
Br11 0.7545 0.4889 0.0048
Br12 0.7545 0.5111 0.4952
Br13 0.7581 0.0301 0.0141
Br14 0.7581 0.9699 0.4859
Br15 0.9699 0.2419 0.2359
Br16 0.9699 0.7581 0.2641

***

# PBE-GGA LaEr5, optimized geometry
# excess energy over the best structure of this formula in the dataset	9.5	meV/atom
# crystal system	monoclinic
# ΔH_f (0 K)	28.1	meV/atom
data_LaEr5
_chemical_formula_sum 'La2 Er10'
_cell_length_a 6.1400
_cell_length_b 10.6284
_cell_length_c 6.1495
_cell_angle_alpha 90.00
_cell_angle_beta 109.40
_cell_angle_gamma 90.00
_symmetry_space_group_name_H-M 'P 1'
_symmetry_Int_Tables_number 1
_symmetry_space_group_name_Hall 'P 1'
loop_
_atom_site_label
_atom_site_fract_x
_atom_site_fract_y
_atom_site_fract_z
La1 0.2495 0.2500 0.0004
La2 0.7505 0.7500 0.9996
Er1 0.2500 0.0820 0.5001
Er2 0.2500 0.4180 0.5001
Er3 0.2501 0.5827 0.0002
Er4 0.2501 0.7500 0.5000
Er5 0.2501 0.9173 0.0002
Er6 0.7499 0.0827 0.9998
Er7 0.7499 0.2500 0.5000
Er8 0.7499 0.4173 0.9998
Er9 0.7500 0.5820 0.4999
Er10 0.7500 0.9180 0.4999

***

# PBE-GGA Fe2ReNi2, optimized geometry
# excess energy over the best structure of this formula in the dataset	92.9	meV/atom
# crystal system	tetragonal
# ΔH_f (0 K)	299.8	meV/atom
data_Fe2ReNi2
_chemical_formula_sum 'Fe4 Re2 Ni4'
_cell_length_a 6.6796
_cell_length_b 6.6796
_cell_length_c 2.5842
_cell_angle_alpha 90.00
_cell_angle_beta 90.00
_cell_angle_gamma 90.00
_symmetry_space_group_name_H-M 'P 1'
_symmetry_Int_Tables_number 1
_symmetry_space_group_name_Hall 'P 1'
loop_
_atom_site_label
_atom_site_fract_x
_atom_site_fract_y
_atom_site_fract_z
Fe1 0.1728 0.3272 0.0000
Fe2 0.3272 0.8272 0.0000
Fe3 0.6728 0.1728 0.0000
Fe4 0.8272 0.6728 0.0000
Re1 0.0000 0.0000 0.5000
Re2 0.5000 0.5000 0.5000
Ni1 0.1243 0.6243 0.5000
Ni2 0.3757 0.1243 0.5000
Ni3 0.6243 0.8757 0.5000
Ni4 0.8757 0.3757 0.5000

***

# PBE-GGA BC2, optimized geometry
# excess energy over the best structure of this formula in the dataset	111.6	meV/atom
# crystal system	monoclinic
# ΔH_f (0 K)	351.6	meV/atom
data_BC2
_chemical_formula_sum 'B4 C8'
_cell_length_a 4.4737
_cell_length_b 4.4737
_cell_length_c 7.9014
_cell_angle_alpha 116.22
_cell_angle_beta 116.22
_cell_angle_gamma 32.87
_symmetry_space_group_name_H-M 'P 1'
_symmetry_Int_Tables_number 1
_symmetry_space_group_name_Hall 'P 1'
loop_
_atom_site_label
_atom_site_fract_x
_atom_site_fract_y
_atom_site_fract_z
B1 0.0000 0.0000 0.0000
B2 0.0159 0.0159 0.4933
B3 0.3465 0.3465 0.6710
B4 0.6711 0.6711 0.8388
C1 0.1743 0.1743 0.9767
C2 0.1804 0.1804 0.4403
C3 0.3381 0.3381 0.1702
C4 0.5033 0.5033 0.1417
C5 0.5078 0.5078 0.6160
C6 0.6784 0.6784 0.3293
C7 0.8339 0.8339 0.7918
C8 0.8376 0.8376 0.2842

***

| no. | VASP energy (eV/cell) |
| --- | --- |
| 1 | -15.8 |
| 2 | -23.4 |
| 3 | -26.1 |
| 4 | -8.4 |
| 5 | -92.2 |
| 6 | -55.1 |
| 7 | -78.9 |
| 8 | -96.3 |